The following is a PBE calculation of crystalline BaReAu at its relaxed geometry, from Alexandria.

Summary:
Spin magnetization: 0.0 μB per formula unit
Formation energy: 1124.0 meV/atom

Unit cell a=3.0711 b=3.0711 c=8.1423 alpha=90.00 beta=90.00 gamma=120.00
Fractional coordinates of all 3 atoms:
Ba: 0.6667 0.3333 0.3395
Au: 0.0000 0.0000 0.9650
Re: 0.3333 0.6667 0.6955

=====

The following is a PBE calculation of crystalline BaReAg2 at its relaxed geometry, from Alexandria.

Summary:
Spin magnetization: 0.6 μB per formula unit
Formation energy: 983.3 meV/atom

Unit cell a=10.7338 b=10.7338 c=10.7338 alpha=16.26 beta=16.26 gamma=16.26
Last column: magnetic moment on the atom in μB.
Fractional coordinates of all 4 atoms:
Ba: 0.2500 0.2500 0.2500  -0.02
Re: 0.7500 0.7500 0.7500  -0.50
Ag: 0.0121 0.0121 0.0121  -0.02
Ag: 0.4879 0.4879 0.4879  -0.02

=====

The following is a PBE calculation of crystalline PrHoCo at its relaxed geometry, from Alexandria.

Summary:
Spin magnetization: 0.0 μB per formula unit
Formation energy: -94.6 meV/atom

Unit cell a=3.8026 b=6.0296 c=7.2137 alpha=89.76 beta=74.72 gamma=71.62
Fractional coordinates of all 6 atoms:
Ho: 0.7071 0.7124 0.8734
Ho: 0.2929 0.2876 0.1266
Pr: 0.5805 0.2343 0.6047
Pr: 0.4195 0.7657 0.3953
Co: 0.0102 0.1118 0.8678
Co: 0.9898 0.8882 0.1322